This record from Alexandria describes RbTiAu3 after structural relaxation. The functional is PBE.

Cell lengths 5.648, 5.648, 5.648 Å; angles 90.00, 90.00, 90.00 degrees
Positions (direct):
Rb1 0.000 0.000 0.000
Ti1 0.500 0.500 0.500
Au1 0.000 0.500 0.000
Au2 0.000 0.000 0.500
Au3 0.500 0.000 0.000

Results
Crystal system = cubic
VASP energy = -10.70 eV per cell
Calculated formation energy = 7.994 eV per formula unit
Symmetry = Pm-3m (221)
Density of states at the Fermi level = 16.684 states/eV per cell
Total magnetization = 0.0 Bohr magnetons per cell

This record from Alexandria describes RbTi2WAu after structural relaxation. The functional is PBE.

Cell lengths 4.842, 5.474, 4.842 Å; angles 90.00, 90.00, 90.00 degrees
Positions (direct):
Au1 0.000 0.500 0.000
W1 0.000 0.000 0.000
Rb1 0.500 0.500 0.500
Ti1 0.000 0.000 0.500
Ti2 0.500 0.000 0.000

Results
Crystal system = tetragonal
VASP energy = -28.68 eV per cell
Calculated formation energy = 4.305 eV per formula unit
Symmetry = P4/mmm (123)
Density of states at the Fermi level = 3.705 states/eV per cell
Total magnetization = 0.0 Bohr magnetons per cell

What is the formula in the second record?
RbTi2WAu